A relaxed LuZn2Ge crystal, computed with PBE-GGA.

Unit cell a=4.7362 b=4.7362 c=4.7362 alpha=60.00 beta=60.00 gamma=60.00
Element x y z (fractional)
Lu1 0.2500 0.2500 0.2500
Zn1 0.7500 0.7500 0.7500
Zn2 0.0000 0.0000 0.0000
Ge1 0.5000 0.5000 0.5000

Output
Calculated total energy   -12.38 eV per cell
SG   F-43m (216)
Total magnetic moment   0.001 μB per formula unit
ρ   8.365 g cm⁻³